Record 1
VASP calculation (PBE-GGA) on a geometry-optimized Nd2ScAu2 structure.

Unit cell a=6.4729 b=6.4729 c=10.9513 alpha=119.67 beta=119.67 gamma=41.99
Closest atoms and distances in Å follow each position.
Positions (direct):
Nd 0.0290 0.0290 0.1842  6 Au 3.19-3.35, 3 Sc 3.49-3.50
Nd 0.1800 0.1800 0.5962  4 Au 3.05-3.31
Nd 0.8200 0.8200 0.4038  4 Au 3.05-3.31
Nd 0.9710 0.9710 0.8158  6 Au 3.19-3.35, 3 Sc 3.49-3.50
Sc 0.2933 0.2933 0.1382  4 Au 2.77-2.81
Sc 0.7067 0.7067 0.8618  4 Au 2.77-2.81
Au 0.3596 0.3596 0.9319  3 Sc 2.77-2.81, 1 Au 2.89
Au 0.4607 0.4607 0.6106  1 Sc 2.78, 1 Au 3.03, 2 Nd 3.05
Au 0.5393 0.5393 0.3894  1 Sc 2.78, 1 Au 3.03, 2 Nd 3.05
Au 0.6404 0.6404 0.0681  3 Sc 2.77-2.81, 1 Au 2.89

Formation energy from the elements ... -0.629 eV/atom
Symmetry ... No. 12
Energy ... -5.113 eV/atom
Total moment ... 0.00 μB/cell



Record 2
VASP calculation (PBE-GGA) on a geometry-optimized Nd5ScAu6 structure.

Unit cell a=8.9899 b=8.9899 c=5.1653 alpha=106.63 beta=106.63 gamma=48.28
Closest atoms and distances in Å follow each position.
Positions (direct):
Nd 0.0000 0.0000 0.0000  8 Au 3.12-3.30
Nd 0.1641 0.1641 0.6643  8 Au 3.25-3.29, 1 Nd 3.63
Nd 0.3289 0.3289 0.3292  8 Au 3.11-3.34
Nd 0.6711 0.6711 0.6708  8 Au 3.11-3.34
Nd 0.8359 0.8359 0.3357  8 Au 3.25-3.29, 1 Nd 3.63
Sc 0.5000 0.5000 0.0000  8 Au 2.97-3.05
Au 0.1116 0.5768 0.8443  1 Sc 2.97, 6 Nd 3.11-3.29
Au 0.2803 0.7197 0.5000  2 Sc 3.05, 6 Nd 3.12-3.30, 1 Au 3.23
Au 0.4232 0.8884 0.1557  1 Sc 2.97, 6 Nd 3.11-3.29
Au 0.5768 0.1116 0.8443  1 Sc 2.97, 6 Nd 3.11-3.29
Au 0.7197 0.2803 0.5000  2 Sc 3.05, 6 Nd 3.12-3.30, 1 Au 3.23
Au 0.8884 0.4232 0.1557  1 Sc 2.97, 6 Nd 3.11-3.29

Formation energy from the elements ... -0.752 eV/atom
Symmetry ... No. 12
Energy ... -4.905 eV/atom
Total moment ... 0.00 μB/cell



Record 3
VASP calculation (PBE-GGA) on a geometry-optimized NdSc2Au structure.

Unit cell a=10.7579 b=10.7579 c=10.7579 alpha=18.25 beta=18.25 gamma=18.25
Closest atoms and distances in Å follow each position.
Positions (direct):
Nd 0.0000 0.0000 0.0000  2 Sc 3.28, 6 Nd 3.41
Sc 0.1032 0.1032 0.1032  3 Au 2.82
Sc 0.8968 0.8968 0.8968  3 Au 2.82
Au 0.5000 0.5000 0.5000  6 Sc 2.82

Formation energy from the elements ... -0.055 eV/atom
Symmetry ... No. 166
Energy ... -5.232 eV/atom
Total moment ... 0.00 μB/cell